VASP calculation (PBE) on InIr2 after structural relaxation.

```
InIr2
1.0
1.9569 -6.1359 0.0000
1.9569 6.1359 0.0000
0.0000 0.0000 4.0848
In Ir
2 4
Direct
0.0871 0.9129 0.7500
0.9129 0.0871 0.2500
0.2514 0.7486 0.2500
0.4106 0.5894 0.7500
0.5894 0.4106 0.2500
0.7486 0.2514 0.7500
```

Output
Energy relative to the elements, meV per atom: 140
Calculated total energy, eV for the cell shown: -40.1